(1)
## MoOs (PBE-GGA)

Data for crystalline MoOs at its relaxed geometry.

abc: 3.995 3.995 3.995
angles: 60.00 60.00 60.00
Fractional coordinates of all 2 atoms:
Mo  0.000  0.000  0.000
Os  0.750  0.750  0.750

Output
Total energy in eV per atom: -9.575
M_tot in μB per formula unit: 0.001
Space-group type: No. 216
Calculated formation energy in eV per atom: 1.461
V in A^3/atom: 22.5

(2)
## Pm2ErN3 (PBE-GGA)

Data for crystalline Pm2ErN3 at its relaxed geometry.

abc: 3.531 3.531 8.646
angles: 90.00 90.00 120.00
Fractional coordinates of all 6 atoms:
Pm  0.333  0.667  0.329
Pm  0.667  0.333  0.671
Er  0.000  0.000  0.000
N  0.000  0.000  0.500
N  0.333  0.667  0.843
N  0.667  0.333  0.157

Output
Total energy in eV per atom: -8.036
M_tot in μB per formula unit: 0.002
Space-group type: No. 164
V in A^3/atom: 15.6

(3)
## CsDyZnS3 (PBE-GGA)

Data for crystalline CsDyZnS3 at its relaxed geometry.

abc: 9.079 9.079 8.842
angles: 99.78 99.78 26.41
Fractional coordinates of all 12 atoms:
Cs  0.154  0.154  0.062
Cs  0.846  0.846  0.938
Dy  0.163  0.163  0.555
Dy  0.837  0.837  0.445
Zn  0.477  0.477  0.257
Zn  0.523  0.523  0.743
S  0.000  0.000  0.500
S  0.320  0.320  0.634
S  0.347  0.347  0.244
S  0.500  0.500  0.000
S  0.653  0.653  0.756
S  0.680  0.680  0.366

Output
Total energy in eV per atom: -4.465
M_tot in μB per formula unit: 0.002
Space-group type: No. 12
V in A^3/atom: 26.6

(4)
## PW4Cl11 (PBE-GGA)

Data for crystalline PW4Cl11 at its relaxed geometry.

abc: 8.350 8.350 11.442
angles: 90.83 90.83 73.19
Fractional coordinates of all 32 atoms:
P  0.171  0.171  0.249
P  0.829  0.829  0.751
W  0.145  0.407  0.128
W  0.145  0.408  0.373
W  0.407  0.145  0.128
W  0.408  0.145  0.373
W  0.592  0.855  0.627
W  0.593  0.855  0.872
W  0.855  0.592  0.627
W  0.855  0.593  0.872
Cl  0.019  0.019  0.246
Cl  0.026  0.685  0.016
Cl  0.026  0.685  0.489
Cl  0.110  0.486  0.751
Cl  0.266  0.579  0.254
Cl  0.315  0.974  0.511
Cl  0.315  0.974  0.984
Cl  0.375  0.375  0.510
Cl  0.375  0.375  0.996
Cl  0.421  0.734  0.746
Cl  0.486  0.110  0.751
Cl  0.514  0.890  0.249
Cl  0.579  0.266  0.254
Cl  0.625  0.625  0.004
Cl  0.625  0.625  0.490
Cl  0.685  0.026  0.016
Cl  0.685  0.026  0.489
Cl  0.734  0.421  0.746
Cl  0.890  0.514  0.249
Cl  0.974  0.315  0.511
Cl  0.974  0.315  0.984
Cl  0.981  0.981  0.754

Output
Total energy in eV per atom: -5.619
M_tot in μB per formula unit: 0.005
Space-group type: No. 12
V in A^3/atom: 23.9

(5)
## La3PrI2N2 (PBE-GGA)

Data for crystalline La3PrI2N2 at its relaxed geometry.

abc: 3.849 3.849 15.545
angles: 90.00 90.00 120.00
Fractional coordinates of all 8 atoms:
La  0.000  0.000  0.000
La  0.000  0.000  0.330
La  0.333  0.667  0.503
Pr  0.333  0.667  0.828
I  0.000  0.000  0.668
I  0.333  0.667  0.165
N  0.667  0.333  0.417
N  0.667  0.333  0.914

Output
Total energy in eV per atom: -6.186
M_tot in μB per formula unit: 0.005
Space-group type: No. 156
V in A^3/atom: 24.9

(6)
## Dy2ErCd3Au3 (PBE-GGA)

Data for crystalline Dy2ErCd3Au3 at its relaxed geometry.

abc: 3.908 7.773 7.773
angles: 119.86 90.00 90.00
Fractional coordinates of all 9 atoms:
Dy  0.000  0.202  0.798
Dy  0.000  0.798  0.202
Er  0.000  0.606  0.606
Cd  0.500  0.202  0.465
Cd  0.500  0.465  0.202
Cd  0.500  0.938  0.938
Au  0.000  0.202  0.202
Au  0.500  0.536  0.867
Au  0.500  0.867  0.536

Output
Total energy in eV per atom: -3.581
M_tot in μB per formula unit: 0.015
Space-group type: No. 38
Calculated formation energy in eV per atom: -0.664
V in A^3/atom: 22.8

(7)
## SrSmAuSe3 (PBE-GGA)

Data for crystalline SrSmAuSe3 at its relaxed geometry.

abc: 8.109 4.154 9.966
angles: 90.00 105.65 90.00
Fractional coordinates of all 12 atoms:
Sr  0.237  0.250  0.283
Sr  0.763  0.750  0.717
Sm  0.311  0.750  0.834
Sm  0.689  0.250  0.166
Au  0.109  0.250  0.591
Au  0.891  0.750  0.409
Se  0.058  0.250  0.842
Se  0.294  0.750  0.534
Se  0.425  0.750  0.141
Se  0.575  0.250  0.859
Se  0.706  0.250  0.466
Se  0.942  0.750  0.158

Output
Total energy in eV per atom: -4.826
M_tot in μB per formula unit: 0.001
Space-group type: No. 11
V in A^3/atom: 26.9

(8)
## LuGaFeCo (PBE-GGA)

Data for crystalline LuGaFeCo at its relaxed geometry.

abc: 4.465 4.465 4.465
angles: 60.00 60.00 60.00
Fractional coordinates of all 4 atoms:
Lu  0.000  0.000  0.000
Ga  0.250  0.250  0.250
Fe  0.500  0.500  0.500
Co  0.750  0.750  0.750

Output
Total energy in eV per atom: -5.800
Offset from the most stable computed form in meV/atom: 87
M_tot in μB per formula unit: 4.284
Space-group type: No. 216
V in A^3/atom: 15.7